No. 1
The following is a PBE-GGA calculation of an optimized crystal structure of PrAl2Ge, from Alexandria via LeMat-Bulk.

Values from the calculation:
D(E_F)	0.5657	states/eV/atom
uncorrected energy	-3.848	eV per atom
SG	R-3m (166)

Unit cell a=3.9111 b=3.9111 c=8.9972 alpha=77.45 beta=77.45 gamma=60.00
Closest atoms and distances in Å follow each position.
Atoms (fractional coordinates):
Al  0.1205  0.1205  0.6386  3 Ge 2.56
Pr  0.0000  0.0000  0.0000  2 Al 3.15
Al  0.8795  0.8795  0.3614  3 Ge 2.56
Ge  0.5000  0.5000  0.5000  6 Al 2.56

No. 2
The following is a PBE-GGA calculation of an optimized crystal structure of PrAl2Ge2, from Alexandria via LeMat-Bulk.

Values from the calculation:
D(E_F)	0.3982	states/eV/atom
uncorrected energy	-4.745	eV per atom
SG	P-3m1 (164)

Unit cell a=4.3064 b=4.3064 c=6.9392 alpha=90.00 beta=90.00 gamma=120.00
Closest atoms and distances in Å follow each position.
Atoms (fractional coordinates):
Ge  0.3333  0.6667  0.2679  4 Al 2.57-2.59
Al  0.3333  0.6667  0.6412  4 Ge 2.57-2.59
Al  0.6667  0.3333  0.3588  4 Ge 2.57-2.59
Pr  0.0000  0.0000  0.0000  6 Ge 3.10
Ge  0.6667  0.3333  0.7321  4 Al 2.57-2.59

No. 3
The following is a PBE-GGA calculation of an optimized crystal structure of Pr5AlGe4, from Alexandria via LeMat-Bulk.

Values from the calculation:
D(E_F)	0.5293	states/eV/atom
uncorrected energy	-5.078	eV per atom
SG	C2/m (12)

Unit cell a=5.0612 b=7.2652 c=11.1403 alpha=132.80 beta=103.13 gamma=90.00
Closest atoms and distances in Å follow each position.
Atoms (fractional coordinates):
Pr  0.8303  0.1360  0.6606  5 Ge 3.06-3.18
Ge  0.9932  0.7178  0.9863  6 Pr 2.95-3.18, 2 Al 3.19
Pr  0.1697  0.8640  0.3394  5 Ge 3.06-3.18
Ge  0.0068  0.2822  0.0137  6 Pr 2.95-3.18, 2 Al 3.19
Pr  0.1458  0.2944  0.2917  5 Ge 2.95-3.14
Al  0.5000  0.0000  0.0000  6 Ge 3.19-3.36, 4 Pr 3.40
Pr  0.5000  0.5000  0.0000  6 Ge 3.04-3.33
Ge  0.6807  0.1236  0.3615  7 Pr 3.06-3.33, 1 Al 3.36
Pr  0.8542  0.7056  0.7083  5 Ge 2.95-3.14
Ge  0.3193  0.8764  0.6385  7 Pr 3.06-3.33, 1 Al 3.36

No. 4
The following is a PBE-GGA calculation of an optimized crystal structure of Pr2AlGe3, from Alexandria via LeMat-Bulk.

Values from the calculation:
D(E_F)	0.4654	states/eV/atom
uncorrected energy	-5.135	eV per atom
SG	Fmmm (69)

Unit cell a=5.9817 b=5.9817 c=8.8693 alpha=109.28 beta=109.28 gamma=91.21
Closest atoms and distances in Å follow each position.
Atoms (fractional coordinates):
Ge  0.6650  0.1676  0.8325  1 Al 2.48, 2 Ge 2.58-2.62
Pr  0.2500  0.7500  0.5000  8 Ge 3.21-3.34, 4 Al 3.27
Pr  0.2442  0.2442  0.0000  10 Ge 3.24-3.42, 2 Al 3.36
Ge  0.8250  0.8250  0.6501  1 Al 2.50, 2 Ge 2.58
Al  0.3348  0.3348  0.6696  3 Ge 2.48-2.50
Pr  0.7558  0.7558  0.0000  10 Ge 3.24-3.42, 2 Al 3.36
Ge  0.1676  0.6650  0.8325  1 Al 2.48, 2 Ge 2.58-2.62
Pr  0.7500  0.2500  0.5000  8 Ge 3.21-3.34, 4 Al 3.27
Ge  0.8324  0.3350  0.1675  1 Al 2.48, 2 Ge 2.58-2.62
Ge  0.3350  0.8324  0.1675  1 Al 2.48, 2 Ge 2.58-2.62
Ge  0.1750  0.1750  0.3499  1 Al 2.50, 2 Ge 2.58
Al  0.6652  0.6652  0.3304  3 Ge 2.48-2.50

| no. | formation energy (eV/atom) | mass density (Mg/m³) | spin magnetization (μB per formula unit) |
| --- | --- | --- | --- |
| 1 | 0.37 | 3.850 | 0.0 |
| 2 | -0.44 | 5.068 | 0.0 |
| 3 | -0.47 | 5.938 | 0.0 |
| 4 | -0.61 | 6.253 | 0.0 |